Computed, not measured: a relaxed structure of TeAsOF2 at the PBE level of DFT.

POSCAR file:
```
TeAsOF2
1.0
-0.389 -3.549 -2.081
3.446 0.861 -2.112
2.491 -2.145 3.192
F O Te As
2 1 1 1
Cartesian
1.723 0.430 -1.056
-0.195 -1.774 -1.040
1.246 -1.072 1.596
2.774 -2.416 -0.501
0.000 0.000 0.000
```

Properties
Energy above the lowest structure with this stoichiometry: 0.000 eV/atom
Total energy: -3.96 eV/atom
Energy relative to the elements, uncorrected: -0.66 eV/atom
Volume: 15.648 A^3/atom
Fermi-level density of states: 2.65 states/eV/f.u.

---

Computed, not measured: a relaxed structure of ThAsO4F at the PBE level of DFT.

POSCAR file:
```
ThAsO4F
1.0
-0.851 -5.302 -2.723
4.182 -3.634 2.356
-3.539 -3.645 4.704
As O Th F
2 8 2 2
Cartesian
0.171 -4.142 1.191
-0.379 -8.440 3.146
0.891 -5.661 0.976
-1.099 -6.920 3.362
0.211 -9.055 4.662
1.380 -2.930 1.492
-0.419 -3.526 -0.324
0.821 -8.436 1.956
-1.588 -9.652 2.846
-1.029 -4.146 2.381
2.137 -7.465 0.334
-2.345 -5.116 4.004
0.322 -11.779 3.548
-0.530 -0.802 0.789
```

Properties
Total energy: -7.46 eV/atom
Energy relative to the elements, uncorrected: -2.64 eV/atom
Volume: 16.591 A^3/atom
Fermi-level density of states: 0.00 states/eV/f.u.

---

Computed, not measured: a relaxed structure of TiAsOF2 at the PBE level of DFT.

POSCAR file:
```
TiAsOF2
1.0
-4.235 -0.907 0.622
-0.163 -1.931 -3.923
0.988 -3.469 1.666
F As O Ti
2 1 1 1
Cartesian
-2.117 -0.454 0.311
-0.081 -0.965 -1.961
0.000 0.000 0.000
0.494 -1.735 0.833
-1.705 -3.154 -0.817
```

Properties
Energy above the lowest structure with this stoichiometry: 0.957 eV/atom
Total energy: -4.98 eV/atom
Energy relative to the elements, uncorrected: -0.73 eV/atom
Volume: 15.213 A^3/atom
Fermi-level density of states: 7.19 states/eV/f.u.

---

Computed, not measured: a relaxed structure of TiAsOF2 at the PBE level of DFT.

POSCAR file:
```
TiAsOF2
1.0
-0.756 2.127 3.501
-4.076 -0.032 -0.860
-0.378 -3.287 1.915
Ti O F As
1 1 2 1
Cartesian
0.000 0.000 0.000
-0.189 -1.644 0.957
-0.378 1.063 1.751
-2.038 -0.016 -0.430
-2.605 -0.596 2.278
```

Properties
Energy above the lowest structure with this stoichiometry: 0.000 eV/atom
Total energy: -5.94 eV/atom
Energy relative to the elements, uncorrected: -1.69 eV/atom
Volume: 13.269 A^3/atom
Fermi-level density of states: 5.71 states/eV/f.u.

---

Computed, not measured: a relaxed structure of TlAsOF2 at the PBE level of DFT.

POSCAR file:
```
TlAsOF2
1.0
-2.648 3.454 -1.208
-1.920 -2.581 -3.171
-2.718 -1.175 2.602
Tl F As O
1 2 1 1
Cartesian
-3.643 -0.151 -0.889
-1.324 1.727 -0.604
-0.960 -1.290 -1.586
0.000 0.000 0.000
-1.359 -0.587 1.301
```

Properties
Energy above the lowest structure with this stoichiometry: 0.000 eV/atom
Total energy: -4.56 eV/atom
Energy relative to the elements, uncorrected: -1.41 eV/atom
Volume: 16.085 A^3/atom
Fermi-level density of states: 0.06 states/eV/f.u.

---

Computed, not measured: a relaxed structure of TlAsO2F at the PBE level of DFT.

POSCAR file:
```
TlAsO2F
1.0
4.323 0.000 0.000
0.000 4.323 0.000
0.000 0.000 4.334
Tl O As F
1 2 1 1
Cartesian
0.000 0.000 0.000
0.000 2.162 0.000
2.162 0.000 0.000
2.162 2.162 2.167
0.000 0.000 2.167
```

Properties
Total energy: -3.82 eV/atom
Energy relative to the elements, uncorrected: -0.06 eV/atom
Volume: 16.202 A^3/atom
Fermi-level density of states: 2.17 states/eV/f.u.